No. 1
Density functional theory data (PBE) for a relaxed Sn3BiN crystal.

Lattice parameters (Å, degrees): 5.877 5.877 5.877 90.00 90.00 90.00
Sites, in units of the cell vectors:
N (0.500, 0.500, 0.500)
Sn (0.000, 0.000, 0.500)
Bi (0.000, 0.000, 0.000)
Sn (0.500, 0.000, 0.000)
Sn (0.000, 0.500, 0.000)

Output
energy above the most stable polymorph in this dataset = 1544 meV per atom

No. 2
Density functional theory data (PBE) for a relaxed Li2AcPbO crystal.

Lattice parameters (Å, degrees): 6.972 6.972 6.860 120.54 120.54 90.00
Sites, in units of the cell vectors:
Ac (0.250, 0.250, 0.500)
Li (0.749, 0.249, 0.000)
Li (0.751, 0.749, 0.000)
O (0.000, 0.000, 0.000)
O (0.500, 0.500, 0.000)
Pb (0.750, 0.250, 0.500)
Li (0.249, 0.251, 0.000)
Pb (0.250, 0.750, 0.500)
Li (0.251, 0.751, 0.000)
Ac (0.750, 0.750, 0.500)

| no. | E_form (uncorrected) (eV per atom) |
| --- | --- |
| 1 | 1.9254 |
| 2 | -1.1600 |